Version 1
Below is a relaxed ScAgMo2 crystal, with properties calculated at the GGA-PBE level.

Geometry as POSCAR:
```
ScAgMo2
1.0
3.2602 0.0000 0.0000
0.0000 3.2602 0.0000
0.0000 0.0000 6.6732
Sc Ag Mo
1 1 2
Direct
0.0000 0.0000 0.0000 Sc
0.5000 0.5000 0.2674 Ag
0.0000 0.0000 0.5418 Mo
0.5000 0.5000 0.7384 Mo
```

Results
The value obtained for the size of the total moment is 0.00 Bohr magnetons per cell. Its density of states at the Fermi level is 1.2238 states/eV per atom.


Version 2
Below is a relaxed ScAgMo2 crystal, with properties calculated at the GGA-PBE level.

Geometry as POSCAR:
```
ScAgMo2
1.0
3.2616 0.0000 0.0000
0.0000 4.6859 0.0000
0.0000 0.0000 9.2120
Sc Ag Mo
2 2 4
Direct
0.0000 0.0000 0.0000 Sc
0.5000 0.5000 0.0000 Sc
0.0000 0.5000 0.2664 Ag
0.5000 0.0000 0.2664 Ag
0.0000 0.0000 0.5261 Mo
0.0000 0.5000 0.7467 Mo
0.5000 0.0000 0.7467 Mo
0.5000 0.5000 0.5261 Mo
```

Results
The value obtained for the size of the total moment is 0.00 Bohr magnetons per cell. Its density of states at the Fermi level is 0.7960 states/eV per atom.


Most stable = version 1


Version 1
Below is a relaxed ScAgMo2 crystal, with properties calculated at the GGA-PBE level.

Geometry as POSCAR:
```
ScAgMo2
1.0
2.7468 0.0000 0.0000
0.0000 2.7468 0.0000
0.0000 0.0000 9.1954
Sc Ag Mo
1 1 2
Direct
0.0000 0.0000 0.0000 Sc
0.5000 0.5000 0.2607 Ag
0.0000 0.0000 0.5051 Mo
0.5000 0.5000 0.7515 Mo
```

Results
The value obtained for the size of the total moment is 0.00 Bohr magnetons per cell. Its density of states at the Fermi level is 0.6100 states/eV per atom.


Version 2
Below is a relaxed ScAgMo2 crystal, with properties calculated at the GGA-PBE level.

Geometry as POSCAR:
```
ScAgMo2
1.0
3.8577 0.0000 0.0000
0.0000 3.8577 0.0000
0.0000 0.0000 4.6609
Sc Ag Mo
1 1 2
Direct
0.0000 0.0000 0.0000 Sc
0.5000 0.5000 0.0000 Ag
0.0000 0.5000 0.5000 Mo
0.5000 0.0000 0.5000 Mo
```

Results
The value obtained for the size of the total moment is 0.00 Bohr magnetons per cell. Its density of states at the Fermi level is 0.7534 states/eV per atom.


Version 3
Below is a relaxed ScAgMo2 crystal, with properties calculated at the GGA-PBE level.

Geometry as POSCAR:
```
ScAgMo2
1.0
3.4294 0.0000 0.0000
0.0000 4.7538 0.0000
0.0000 0.0000 8.7404
Sc Ag Mo
2 2 4
Direct
0.0000 0.0000 0.0000 Sc
0.5000 0.5000 0.5000 Sc
0.0000 0.5000 0.7677 Ag
0.5000 0.0000 0.2677 Ag
0.0000 0.0000 0.5372 Mo
0.0000 0.5000 0.2425 Mo
0.5000 0.0000 0.7425 Mo
0.5000 0.5000 0.0372 Mo
```

Results
The value obtained for the size of the total moment is 0.00 Bohr magnetons per cell. Its density of states at the Fermi level is 0.8727 states/eV per atom.


Version 4
Below is a relaxed ScAgMo2 crystal, with properties calculated at the GGA-PBE level.

Geometry as POSCAR:
```
ScAgMo2
1.0
6.5199 0.0000 0.0000
0.0000 6.5199 0.0000
0.0000 0.0000 6.5199
Sc Ag Mo
4 4 8
Direct
0.0000 0.0000 0.0000 Sc
0.0000 0.5000 0.5000 Sc
0.5000 0.0000 0.5000 Sc
0.5000 0.5000 0.0000 Sc
0.0000 0.0000 0.5000 Ag
0.0000 0.5000 0.0000 Ag
0.5000 0.0000 0.0000 Ag
0.5000 0.5000 0.5000 Ag
0.2500 0.2500 0.2500 Mo
0.2500 0.2500 0.7500 Mo
0.2500 0.7500 0.2500 Mo
0.2500 0.7500 0.7500 Mo
0.7500 0.2500 0.2500 Mo
0.7500 0.2500 0.7500 Mo
0.7500 0.7500 0.2500 Mo
0.7500 0.7500 0.7500 Mo
```

Results
The value obtained for the size of the total moment is 0.00 Bohr magnetons per cell. Its density of states at the Fermi level is 1.9679 states/eV per atom.


Most stable = version 2


Version 1
Below is a relaxed AgMoSe2 crystal, with properties calculated at the GGA-PBE level.

Geometry as POSCAR:
```
AgMoSe2
1.0
3.2183 0.0000 0.0000
-1.6092 2.7871 0.0000
0.0000 0.0000 27.0278
Ag Mo Se
3 3 6
Direct
0.0000 0.0000 0.0000 Ag
0.3333 0.6667 0.6667 Ag
0.6667 0.3333 0.3333 Ag
0.0000 0.0000 0.5000 Mo
0.3333 0.6667 0.1667 Mo
0.6667 0.3333 0.8333 Mo
0.0000 0.0000 0.4114 Se
0.0000 0.0000 0.5886 Se
0.3333 0.6667 0.0781 Se
0.3333 0.6667 0.2552 Se
0.6667 0.3333 0.7448 Se
0.6667 0.3333 0.9219 Se
```

Results
The value obtained for the size of the total moment is 0.00 Bohr magnetons per cell. Its density of states at the Fermi level is 0.9243 states/eV per atom.


Version 2
Below is a relaxed AgMoSe2 crystal, with properties calculated at the GGA-PBE level.

Geometry as POSCAR:
```
AgMoSe2
1.0
3.4412 0.0000 0.0000
0.0000 3.8253 0.0000
-1.6980 0.0000 7.1734
Ag Mo Se
1 1 2
Direct
0.0000 0.0000 0.0000 Ag
0.6001 0.5000 0.2027 Mo
0.4312 0.5000 0.8613 Se
0.7015 0.0000 0.4076 Se
```

Results
The value obtained for the size of the total moment is 0.00 Bohr magnetons per cell. Its density of states at the Fermi level is 0.4776 states/eV per atom.


Most stable = version 2


Version 1
Below is a relaxed AgMo2Se2 crystal, with properties calculated at the GGA-PBE level.

Geometry as POSCAR:
```
AgMo2Se2
1.0
4.9315 0.0000 0.0000
0.0000 4.9315 0.0000
0.0000 0.0000 8.1954
Ag Mo Se
2 4 4
Direct
0.0000 0.0000 0.0000 Ag
0.5000 0.5000 0.5000 Ag
0.0000 0.0000 0.3662 Mo
0.0000 0.0000 0.6338 Mo
0.5000 0.5000 0.1338 Mo
0.5000 0.5000 0.8662 Mo
0.0000 0.5000 0.2500 Se
0.0000 0.5000 0.7500 Se
0.5000 0.0000 0.2500 Se
0.5000 0.0000 0.7500 Se
```

Results
The value obtained for the size of the total moment is 0.01 Bohr magnetons per cell. Its density of states at the Fermi level is 1.2771 states/eV per atom.


Version 2
Below is a relaxed AgMo2Se2 crystal, with properties calculated at the GGA-PBE level.

Geometry as POSCAR:
```
AgMo2Se2
1.0
7.3225 0.0000 0.0000
0.0000 7.3225 0.0000
0.0000 0.0000 3.2086
Ag Mo Se
2 4 4
Direct
0.0000 0.0000 0.0000 Ag
0.5000 0.5000 0.0000 Ag
0.1413 0.3587 0.0000 Mo
0.3587 0.8587 0.0000 Mo
0.6413 0.1413 0.0000 Mo
0.8587 0.6413 0.0000 Mo
0.1497 0.6497 0.5000 Se
0.3503 0.1497 0.5000 Se
0.6497 0.8503 0.5000 Se
0.8503 0.3503 0.5000 Se
```

Results
The value obtained for the size of the total moment is 1.98 Bohr magnetons per cell. Its density of states at the Fermi level is 0.8811 states/eV per atom.


Most stable = version 1